InPtBr2F: relaxed, PBE.

Cell lengths 5.4928, 4.0443, 5.4928 Å; angles 90.00, 90.00, 90.00 degrees
With the nearest neighbours (Å) after each atom.
Fractional positions:
Pt 0.5000 0.5000 0.5000  8 Br 3.41
Br 0.5000 0.0000 0.0000  2 F 2.75
Br 0.0000 0.0000 0.5000  2 F 2.75
In 0.0000 0.5000 0.0000  2 F 2.02
F 0.0000 0.0000 0.0000  2 In 2.02

Summary:
Uncorrected formation energy ... 0.183 eV/atom



MnFeSeN2: relaxed, PBE.

Cell lengths 3.6076, 3.6076, 5.2536 Å; angles 90.00, 90.00, 90.00 degrees
With the nearest neighbours (Å) after each atom.
Fractional positions:
Fe 0.0000 0.0000 0.0000  4 N 1.80
Se 0.0000 0.0000 0.5000  4 Mn 2.55, 2 Fe 2.63
Mn 0.5000 0.5000 0.5000  4 Se 2.55
N 0.0000 0.5000 0.0000  2 Fe 1.80
N 0.5000 0.0000 0.0000  2 Fe 1.80

Summary:
Uncorrected formation energy ... 0.677 eV/atom



Ca2LaOs: relaxed, PBE.

Cell lengths 3.6067, 4.5007, 6.4681 Å; angles 90.00, 90.00, 90.00 degrees
With the nearest neighbours (Å) after each atom.
Fractional positions:
Ca 0.0000 0.0000 0.9606  1 Ca 2.72
Ca 0.0000 0.0000 0.5394  1 Ca 2.72
La 0.5000 0.5000 0.2500  2 Os 3.23, 8 Ca 3.44, 2 La 3.61
Os 0.5000 0.5000 0.7500  8 Ca 3.19, 2 La 3.23

Summary:
ΔE_f ... 505 meV/atom



MnBi: relaxed, PBE.

Cell lengths 8.9411, 9.2928, 8.7630 Å; angles 90.00, 90.00, 90.00 degrees
With the nearest neighbours (Å) after each atom.
Fractional positions:
Mn 0.2500 0.6442 0.7500  1 Mn 1.97
Mn 0.5000 0.8942 0.0000  1 Mn 1.97
Mn 0.0000 0.6058 0.0000  1 Mn 1.97
Mn 0.7500 0.3558 0.7500  1 Mn 1.97
Mn 0.2500 0.8558 0.7500  1 Mn 1.97
Mn 0.5000 0.1058 0.0000  1 Mn 1.97
Mn 0.7500 0.1442 0.7500  1 Mn 1.97
Mn 0.0000 0.1058 0.5000  1 Mn 1.97
Mn 0.5000 0.6058 0.5000  1 Mn 1.97
Mn 0.0000 0.3942 0.0000  1 Mn 1.97
Mn 0.2500 0.3558 0.2500  1 Mn 1.97
Mn 0.7500 0.6442 0.2500  1 Mn 1.97
Mn 0.0000 0.8942 0.5000  1 Mn 1.97
Mn 0.7500 0.8558 0.2500  1 Mn 1.97
Mn 0.2500 0.1442 0.2500  1 Mn 1.97
Mn 0.5000 0.3942 0.5000  1 Mn 1.97
Bi 0.0000 0.0000 0.2001  4 Mn 2.64-2.81
Bi 0.7500 0.7500 0.5499  4 Mn 2.64-2.81
Bi 0.5000 0.0000 0.2999  4 Mn 2.64-2.81
Bi 0.2500 0.2500 0.5499  4 Mn 2.64-2.81
Bi 0.2500 0.7500 0.4501  4 Mn 2.64-2.81
Bi 0.2500 0.2500 0.9501  4 Mn 2.64-2.81
Bi 0.0000 0.0000 0.7999  4 Mn 2.64-2.81
Bi 0.2500 0.7500 0.0499  4 Mn 2.64-2.81
Bi 0.7500 0.2500 0.4501  4 Mn 2.64-2.81
Bi 0.7500 0.2500 0.0499  4 Mn 2.64-2.81
Bi 0.5000 0.0000 0.7001  4 Mn 2.64-2.81
Bi 0.5000 0.5000 0.2001  4 Mn 2.64-2.81
Bi 0.0000 0.5000 0.7001  4 Mn 2.64-2.81
Bi 0.7500 0.7500 0.9501  4 Mn 2.64-2.81
Bi 0.0000 0.5000 0.2999  4 Mn 2.64-2.81
Bi 0.5000 0.5000 0.7999  4 Mn 2.64-2.81

Summary:
ΔE_f ... 683 meV/atom



Fe2OsPb: relaxed, PBE.

Cell lengths 2.8738, 2.8738, 8.8716 Å; angles 90.00, 90.00, 114.99 degrees
With the nearest neighbours (Å) after each atom.
Fractional positions:
Os 0.0000 0.0000 0.4665  2 Fe 2.51
Fe 0.5000 0.5000 0.2436  2 Fe 2.40, 2 Os 2.51
Fe 0.0000 0.0000 0.0362  2 Fe 2.40
Pb 0.5000 0.5000 0.7537  6 Pb 2.87-3.09, 2 Fe 2.94, 2 Os 2.98

Summary:
ΔE_f ... 803 meV/atom



TlReSe: relaxed, PBE.

Cell lengths 4.5332, 4.5332, 4.5332 Å; angles 60.00, 60.00, 60.00 degrees
With the nearest neighbours (Å) after each atom.
Fractional positions:
Re 0.7500 0.7500 0.7500  4 Tl 2.78, 4 Se 2.78
Tl 0.5000 0.5000 0.5000  4 Re 2.78
Se 0.0000 0.0000 0.0000  4 Re 2.78

Summary:
Uncorrected formation energy ... 1.005 eV/atom



Rb4CdAu3: relaxed, PBE.

Cell lengths 4.9916, 4.9582, 12.8368 Å; angles 90.00, 90.00, 90.00 degrees
With the nearest neighbours (Å) after each atom.
Fractional positions:
Rb 0.0000 0.0000 0.1520  3 Au 3.65-3.68, 4 Cd 3.74
Rb 0.5000 0.5000 0.3724  6 Au 3.53-3.61
Rb 0.0000 0.5000 0.8422  5 Au 3.54-3.74, 2 Cd 3.68
Rb 0.5000 0.0000 0.6362  7 Au 3.58-3.91
Cd 0.5000 0.5000 0.0532  2 Au 2.87
Au 0.5000 0.0000 0.9412  2 Cd 2.87
Au 0.0000 0.0000 0.4364  2 Au 2.99
Au 0.0000 0.5000 0.5664  2 Au 2.99

Summary:
ΔE_f ... -249 meV/atom



ZnInGe2P: relaxed, PBE.

Cell lengths 4.9504, 4.6702, 4.9504 Å; angles 90.00, 90.00, 90.00 degrees
With the nearest neighbours (Å) after each atom.
Fractional positions:
Ge 0.5000 0.0000 0.0000  2 Zn 2.48
Ge 0.0000 0.0000 0.5000  2 Zn 2.48
P 0.0000 0.5000 0.0000  2 Zn 2.34
In 0.5000 0.5000 0.5000  8 Ge 3.40, 4 P 3.50
Zn 0.0000 0.0000 0.0000  2 P 2.34, 4 Ge 2.48

Summary:
ΔE_f ... 596 meV/atom



Number 1: total DFT energy (no corrections) -13.08 eV/cell. Number 2: total DFT energy (no corrections) -34.38 eV/cell. Number 3: total DFT energy (no corrections) -18.14 eV/cell. Number 4: total DFT energy (no corrections) -186.96 eV/cell. Number 5: total DFT energy (no corrections) -28.65 eV/cell. Number 6: total DFT energy (no corrections) -15.28 eV/cell. Number 7: total DFT energy (no corrections) -16.61 eV/cell. Number 8: total DFT energy (no corrections) -15.68 eV/cell.